Compound: Rb2CoF7
Source: the Alexandria database
Functional: PBE+U
Structure: relaxed

```
Rb2CoF7
1.0
-3.188 3.188 4.122
3.188 -3.188 4.122
3.188 3.188 -4.122
Rb Co F
2 1 7
Direct
0.250 0.750 0.500
0.750 0.250 0.500
0.000 0.000 0.000
0.199 0.199 0.398
0.199 0.801 0.000
0.224 0.224 0.000
0.500 0.500 0.000
0.776 0.776 0.000
0.801 0.199 0.000
0.801 0.801 0.602
```

Raw total energy: -3.96 eV per atom
Space group: I4/mmm, No. 139
Energy above the lowest structure with this stoichiometry: 0 meV per atom
Size of the total moment: 2.00 μB per formula unit